(1)
Here is a relaxed ScVMo crystal from Alexandria. Energies are from PBE.

The space group is Imma (No. 74) and the conventional cell measures 5.2722, 5.3616 and 7.4394 Å, with angles of 90.00, 90.00 and 90.00 degrees. The inequivalent atoms are Sc at (0.0000, 0.2500, 0.1245), V at (0.0000, 0.0000, 0.5000) and Mo at (0.2500, 0.2500, 0.7500).

As for the distance to the lowest polymorph of the same formula: 0 meV per atom. For the formation energy, the calculation gives 41.6 meV/atom. The volume is 210 Å³ per cell.

=====

(2)
Here is a relaxed ScVMo crystal from Alexandria. Energies are from PBE.

The space group is I4mm (No. 107) and the conventional cell measures 3.2148, 3.2148 and 10.0677 Å, with angles of 90.00, 90.00 and 90.00 degrees. The inequivalent atoms are Sc at (0.0000, 0.0000, 0.0000), V at (0.0000, 0.0000, 0.6960) and Mo at (0.0000, 0.0000, 0.3123).

As for the distance to the lowest polymorph of the same formula: 13 meV per atom. For the formation energy, the calculation gives 54.9 meV/atom. The volume is 104 Å³ per cell.

=====

(3)
Here is a relaxed Sc2V2Mo crystal from Alexandria. Energies are from PBE.

The space group is P4/mbm (No. 127) and the conventional cell measures 6.2018, 6.2018 and 4.7609 Å, with angles of 90.00, 90.00 and 90.00 degrees. The inequivalent atoms are Sc at (0.1734, 0.3266, 0.0000), V at (0.1394, 0.6394, 0.5000) and Mo at (0.0000, 0.0000, 0.5000).

As for the distance to the lowest polymorph of the same formula: 0 meV per atom. For the formation energy, the calculation gives 181.7 meV/atom. The volume is 183 Å³ per cell.

=====

(4)
Here is a relaxed ScVMo2W crystal from Alexandria. Energies are from PBE.

The space group is P4/mmm (No. 123) and the conventional cell measures 4.5306, 4.5306 and 4.4326 Å, with angles of 90.00, 90.00 and 90.00 degrees. The inequivalent atoms are Sc at (0.0000, 0.0000, 0.0000), V at (0.0000, 0.0000, 0.5000), Mo at (0.0000, 0.5000, 0.5000) and W at (0.5000, 0.5000, 0.0000).

As for the distance to the lowest polymorph of the same formula: 0 meV per atom. For the formation energy, the calculation gives 1347.4 meV/atom. The volume is 91 Å³ per cell.

=====

(5)
Here is a relaxed ScVMo2W crystal from Alexandria. Energies are from PBE.

The space group is P4/mmm (No. 123) and the conventional cell measures 4.6660, 4.6660 and 4.0748 Å, with angles of 90.00, 90.00 and 90.00 degrees. The inequivalent atoms are Sc at (0.0000, 0.0000, 0.0000), V at (0.0000, 0.0000, 0.5000), Mo at (0.0000, 0.5000, 0.0000) and W at (0.5000, 0.5000, 0.5000).

As for the distance to the lowest polymorph of the same formula: 604 meV per atom. For the formation energy, the calculation gives 1951.7 meV/atom. The volume is 89 Å³ per cell.

=====

(6)
Here is a relaxed YScVMo2 crystal from Alexandria. Energies are from PBE.

The space group is P4/mmm (No. 123) and the conventional cell measures 4.7859, 4.7859 and 4.9034 Å, with angles of 90.00, 90.00 and 90.00 degrees. The inequivalent atoms are Y at (0.0000, 0.0000, 0.0000), Sc at (0.0000, 0.0000, 0.5000), V at (0.5000, 0.5000, 0.5000) and Mo at (0.0000, 0.5000, 0.0000).

For the formation energy, the calculation gives 2270.3 meV/atom. The volume is 112 Å³ per cell.